The following is a PBE calculation of a relaxed structure of TcTeSN2, from Alexandria via LeMat-Bulk.

Properties
Offset from the most stable computed form, eV/f.u.: 0.56
D(E_F), states/eV per cell: 4.58
Crystal system: tetragonal

Cell and atoms, written as extended XYZ:
```
5
Lattice="3.900 0.000 0.000 0.000 3.900 0.000 0.000 0.000 5.141" Properties=species:S:1:pos:R:3 pbc="T T T"
Tc 0.000 0.000 0.000
Te 1.950 1.950 2.570
S 0.000 0.000 2.570
N 0.000 1.950 0.000
N 1.950 0.000 0.000
```